Below is an optimized crystal structure of LaNd8Sm4, with properties calculated at the PBE-GGA level.

The space group is R-3m (No. 166, hexagonal axes) and the conventional cell measures 11.9090, 11.9090 and 11.8381 Å, with angles of 90.00, 90.00 and 120.00 degrees. The asymmetric unit holds La at (0.0000, 0.0000, 0.0000), Nd at (0.0000, 0.0000, 0.2590), Nd at (0.0027, 0.5013, 0.1665), Sm at (0.0000, 0.0000, 0.5000) and Sm at (0.0000, 0.5000, 0.5000).

The calculation puts the total energy at -4.3671 eV per atom. As for the calculated volume: 1454.0 Å³ per cell. The density of states at the Fermi level is 1.99 states/eV per atom. The calculation puts the density at 6.49 Mg/m³. The calculation puts the spin magnetization at 0.000 μB/cell. As for the formation energy from the elements: 5.17 eV per formula unit.

---

Below is an optimized crystal structure of LiPr2Cu, with properties calculated at the PBE-GGA level.

The space group is P4/mmm (No. 123) and the conventional cell measures 3.7049, 3.7049 and 7.5951 Å, with angles of 90.00, 90.00 and 90.00 degrees. The asymmetric unit holds Li at (0.0000, 0.0000, 0.0000), Pr at (0.5000, 0.5000, 0.2775) and Cu at (0.0000, 0.0000, 0.5000).

The calculation puts the total energy at -3.9020 eV per atom. For the relative energy among the computed polymorphs, the calculation gives 0 meV/atom. As for the calculated volume: 104.3 Å³ per cell. The density of states at the Fermi level is 1.23 states/eV per atom. The calculation puts the density at 5.61 Mg/m³. The calculation puts the spin magnetization at 0.001 μB/cell. As for the formation energy from the elements: -0.04 eV per formula unit.

---

Below is an optimized crystal structure of Sn3Pb2Au2, with properties calculated at the PBE-GGA level.

The space group is C2/m (No. 12) and the conventional cell measures 11.4589, 4.3543 and 7.8667 Å, with angles of 90.00, 110.07 and 90.00 degrees. The asymmetric unit holds Sn at (0.0000, 0.0000, 0.0000), Sn at (0.1198, 0.0000, 0.4470), Pb at (0.1574, 0.5000, 0.8271) and Au at (0.1591, 0.5000, 0.2312).

The calculation puts the total energy at -3.7943 eV per atom. As for the calculated volume: 368.7 Å³ per cell. The density of states at the Fermi level is 0.41 states/eV per atom. The calculation puts the density at 10.49 Mg/m³. The calculation puts the spin magnetization at 0.000 μB/cell. As for the formation energy from the elements: -0.58 eV per formula unit.

---

Below is an optimized crystal structure of AsRuSe2N, with properties calculated at the PBE-GGA level.

The space group is P4/mmm (No. 123) and the conventional cell measures 5.0550, 5.0550 and 3.6560 Å, with angles of 90.00, 90.00 and 90.00 degrees. The asymmetric unit holds As at (0.0000, 0.0000, 0.0000), Ru at (0.5000, 0.5000, 0.5000), Se at (0.0000, 0.5000, 0.5000) and N at (0.5000, 0.5000, 0.0000).

The calculation puts the total energy at -5.3634 eV per atom. For the relative energy among the computed polymorphs, the calculation gives 0 meV/atom. As for the calculated volume: 93.4 Å³ per cell. The density of states at the Fermi level is 0.85 states/eV per atom. The calculation puts the density at 6.18 Mg/m³. The calculation puts the formation energy (no corrections) at 0.481 eV per atom. The calculation puts the spin magnetization at 0.000 μB/cell.

---

Below is an optimized crystal structure of CaTb2CeP4, with properties calculated at the PBE-GGA level.

The space group is P2/m (No. 10) and the conventional cell measures 7.0050, 4.0766 and 7.0455 Å, with angles of 90.00, 109.03 and 90.00 degrees. The asymmetric unit holds Ca at (0.0000, 0.0000, 0.0000), Tb at (0.0000, 0.5000, 0.5000), Tb at (0.5000, 0.0000, 0.5000), Ce at (0.5000, 0.5000, 0.0000), P at (0.2540, 0.0000, 0.7481) and P at (0.2597, 0.5000, 0.2539).

The calculation puts the total energy at -6.2963 eV per atom. As for the calculated volume: 190.2 Å³ per cell. The density of states at the Fermi level is 0.06 states/eV per atom. The calculation puts the density at 5.43 Mg/m³. The calculation puts the spin magnetization at 0.115 μB/cell. As for the formation energy from the elements: -11.53 eV per formula unit.

---

Below is an optimized crystal structure of Th2GaCu4Ge3, with properties calculated at the PBE-GGA level.

The space group is P-4m2 (No. 115) and the conventional cell measures 4.2059, 4.2059 and 10.0815 Å, with angles of 90.00, 90.00 and 90.00 degrees. The asymmetric unit holds Th at (0.0000, 0.5000, 0.2450), Ga at (0.0000, 0.0000, 0.5000), Cu at (0.0000, 0.0000, 0.0000), Cu at (0.0000, 0.5000, 0.6313), Cu at (0.5000, 0.5000, 0.0000), Ge at (0.0000, 0.5000, 0.8693) and Ge at (0.5000, 0.5000, 0.5000).

The calculation puts the total energy at -5.3195 eV per atom. As for the calculated volume: 178.3 Å³ per cell. The density of states at the Fermi level is 0.28 states/eV per atom. The calculation puts the density at 9.37 Mg/m³. The calculation puts the spin magnetization at 0.000 μB/cell. As for the formation energy from the elements: -5.09 eV per formula unit.

---

Below is an optimized crystal structure of Ta2MnIn2Se6, with properties calculated at the PBE-GGA level.

The space group is C2/m (No. 12) and the conventional cell measures 6.0428, 10.7899 and 8.6523 Å, with angles of 90.00, 101.89 and 90.00 degrees. The asymmetric unit holds Ta at (0.0000, 0.1353, 0.0000), Mn at (0.0000, 0.5000, 0.0000), In at (0.0000, 0.2256, 0.5000), Se at (0.1031, 0.3328, 0.8282) and Se at (0.1323, 0.0000, 0.7919).

The calculation puts the total energy at -5.9018 eV per atom. As for the calculated volume: 552.0 Å³ per cell. The density of states at the Fermi level is 0.30 states/eV per atom. The calculation puts the density at 6.74 Mg/m³. The calculation puts the formation energy (no corrections) at -0.515 eV per atom. The calculation puts the spin magnetization at 3.065 μB/cell.

---

Below is an optimized crystal structure of LiLa2Cl, with properties calculated at the PBE-GGA level.

The space group is I-42d (No. 122) and the conventional cell measures 8.5374, 8.5374 and 6.8105 Å, with angles of 90.00, 90.00 and 90.00 degrees. The asymmetric unit holds Li at (0.0000, 0.0000, 0.0000), La at (0.1986, 0.2500, 0.6250) and Cl at (0.0000, 0.0000, 0.5000).

The calculation puts the total energy at -3.8345 eV per atom. For the relative energy among the computed polymorphs, the calculation gives 250 meV/atom. As for the calculated volume: 496.4 Å³ per cell. The density of states at the Fermi level is 0.64 states/eV per atom. The calculation puts the density at 4.28 Mg/m³. The calculation puts the formation energy (no corrections) at -0.431 eV per atom. The calculation puts the spin magnetization at 0.000 μB/cell.

---

Below is an optimized crystal structure of CaPrScIn, with properties calculated at the PBE-GGA level.

The space group is F-43m (No. 216) and the conventional cell measures 7.7095, 7.7095 and 7.7095 Å, with angles of 90.00, 90.00 and 90.00 degrees. The asymmetric unit holds Ca at (0.0000, 0.0000, 0.0000), Pr at (0.2500, 0.2500, 0.7500), Sc at (0.2500, 0.2500, 0.2500) and In at (0.0000, 0.0000, 0.5000).

The calculation puts the total energy at -4.0945 eV per atom. As for the calculated volume: 458.2 Å³ per cell. The density of states at the Fermi level is 0.91 states/eV per atom. The calculation puts the density at 4.94 Mg/m³. The calculation puts the spin magnetization at 0.000 μB/cell. As for the formation energy from the elements: -0.53 eV per formula unit.

---

Below is an optimized crystal structure of CsMn3B, with properties calculated at the PBE-GGA level.

The space group is Pm-3m (No. 221) and the conventional cell measures 4.3285, 4.3285 and 4.3285 Å, with angles of 90.00, 90.00 and 90.00 degrees. The asymmetric unit holds Cs at (0.0000, 0.0000, 0.0000), Mn at (0.0000, 0.5000, 0.5000) and B at (0.5000, 0.5000, 0.5000).

The calculation puts the total energy at -5.9784 eV per atom. For the relative energy among the computed polymorphs, the calculation gives 0 meV/atom. As for the calculated volume: 81.1 Å³ per cell. The density of states at the Fermi level is 1.08 states/eV per atom. The calculation puts the density at 6.32 Mg/m³. The calculation puts the spin magnetization at 8.844 μB/cell. As for the formation energy from the elements: 5.15 eV per formula unit.